The following is a PBE+U calculation of a geometry-optimized NaFeAs2O6 structure, from Alexandria.

```
NaFeAs2O6
1.0
5.039 0.000 -0.001
-2.519 4.364 0.000
-2.518 -1.454 5.648
Na Fe As O
1 1 2 6
Direct
0.032 0.516 0.534
0.972 0.985 0.943
0.519 0.759 0.264
0.607 0.303 0.897
0.559 0.969 0.756
0.448 0.061 0.132
0.761 0.699 0.132
0.085 0.385 0.132
0.801 0.588 0.756
0.182 0.212 0.756
```

Properties
As for the space group: No. 146.

=====

The following is a PBE+U calculation of a geometry-optimized Na2FeAsO4 structure, from Alexandria.

```
Na2FeAsO4
1.0
-0.428 1.883 5.112
-3.028 -4.008 2.508
4.586 -0.570 -2.969
Na Fe As O
2 1 1 4
Direct
0.532 0.032 0.065
0.277 0.277 0.555
0.020 0.520 0.041
0.758 0.758 0.515
0.616 0.570 0.619
0.814 0.413 0.180
0.367 0.767 0.180
0.003 0.049 0.619
```

Properties
As for the space group: No. 5.

=====

no.,DOS(E_F) (states/eV per cell),total DFT energy (no corrections) (eV/cell)
1,0.0,-57.8
2,1.1,-44.1